1.
# LiLaAgRh

A relaxed structure of LiLaAgRh (GGA-PBE, the Alexandria database). Values from VASP.

```
&SYSTEM
  ibrav = 0, nat = 4, ntyp = 4
/
ATOMIC_SPECIES
Li 6.94 Li.upf
La 138.91 La.upf
Ag 107.87 Ag.upf
Rh 102.91 Rh.upf
ATOMIC_POSITIONS crystal
Li 0.000 0.000 0.000
La 0.500 0.500 0.500
Ag 0.750 0.750 0.750
Rh 0.250 0.250 0.250
CELL_PARAMETERS angstrom
0.000 3.482 3.482
3.482 0.000 3.482
3.482 3.482 0.000
```

## Properties
total DFT energy (no corrections)	-4.502	eV per atom
calculated formation energy	-241	meV per atom
volume	21.11	A^3/atom

2.
# LiLa2AgRu

A relaxed structure of LiLa2AgRu (GGA-PBE, the Alexandria database). Values from VASP.

```
&SYSTEM
  ibrav = 0, nat = 5, ntyp = 4
/
ATOMIC_SPECIES
Li 6.94 Li.upf
La 138.91 La.upf
Ag 107.87 Ag.upf
Ru 101.07 Ru.upf
ATOMIC_POSITIONS crystal
Li 0.000 0.000 0.000
La 0.000 0.500 0.500
La 0.500 0.000 0.500
Ag 0.500 0.500 0.000
Ru 0.500 0.500 0.500
CELL_PARAMETERS angstrom
5.303 0.000 0.000
0.000 5.303 0.000
0.000 0.000 5.380
```

## Properties
relative energy among the computed polymorphs	0.085	eV/atom
total DFT energy (no corrections)	-4.769	eV per atom
calculated formation energy	10	meV per atom
volume	30.26	A^3/atom

3.
# LiLa2AgRu

A relaxed structure of LiLa2AgRu (GGA-PBE, the Alexandria database). Values from VASP.

```
&SYSTEM
  ibrav = 0, nat = 5, ntyp = 4
/
ATOMIC_SPECIES
Li 6.94 Li.upf
La 138.91 La.upf
Ag 107.87 Ag.upf
Ru 101.07 Ru.upf
ATOMIC_POSITIONS crystal
Li 0.000 0.000 0.000
La 0.000 0.500 0.500
La 0.500 0.000 0.500
Ag 0.500 0.500 0.000
Ru 0.000 0.000 0.500
CELL_PARAMETERS angstrom
5.337 0.000 0.000
0.000 5.337 0.000
0.000 0.000 4.863
```

## Properties
relative energy among the computed polymorphs	0.000	eV/atom
total DFT energy (no corrections)	-4.854	eV per atom
calculated formation energy	-75	meV per atom
volume	27.70	A^3/atom

4.
# LiLaAgSb

A relaxed structure of LiLaAgSb (GGA-PBE, the Alexandria database). Values from VASP.

```
&SYSTEM
  ibrav = 0, nat = 4, ntyp = 4
/
ATOMIC_SPECIES
Li 6.94 Li.upf
La 138.91 La.upf
Ag 107.87 Ag.upf
Sb 121.76 Sb.upf
ATOMIC_POSITIONS crystal
Li 0.000 0.000 0.000
La 0.500 0.500 0.500
Ag 0.250 0.250 0.250
Sb 0.750 0.750 0.750
CELL_PARAMETERS angstrom
0.000 3.707 3.707
3.707 0.000 3.707
3.707 3.707 0.000
```

## Properties
energy relative to the elements, uncorrected	-0.57	eV/atom
total DFT energy (no corrections)	-4.027	eV per atom
volume	25.48	A^3/atom

5.
# Li2LaAgSb

A relaxed structure of Li2LaAgSb (GGA-PBE, the Alexandria database). Values from VASP.

```
&SYSTEM
  ibrav = 0, nat = 5, ntyp = 4
/
ATOMIC_SPECIES
Li 6.94 Li.upf
La 138.91 La.upf
Ag 107.87 Ag.upf
Sb 121.76 Sb.upf
ATOMIC_POSITIONS crystal
Li 0.000 0.500 0.000
Li 0.500 0.000 0.000
La 0.000 0.000 0.500
Ag 0.000 0.000 0.000
Sb 0.500 0.500 0.500
CELL_PARAMETERS angstrom
4.820 0.000 0.000
0.000 4.820 0.000
0.000 0.000 5.887
```

## Properties
energy relative to the elements, uncorrected	-0.25	eV/atom
total DFT energy (no corrections)	-3.391	eV per atom
volume	27.36	A^3/atom

6.
# LiLaAgSb2

A relaxed structure of LiLaAgSb2 (GGA-PBE, the Alexandria database). Values from VASP.

```
&SYSTEM
  ibrav = 0, nat = 5, ntyp = 4
/
ATOMIC_SPECIES
Li 6.94 Li.upf
La 138.91 La.upf
Ag 107.87 Ag.upf
Sb 121.76 Sb.upf
ATOMIC_POSITIONS crystal
Li 0.000 0.000 0.000
La 0.500 0.500 0.500
Ag 0.500 0.500 0.000
Sb 0.000 0.500 0.500
Sb 0.500 0.000 0.500
CELL_PARAMETERS angstrom
6.033 0.000 0.000
0.000 6.033 0.000
0.000 0.000 5.878
```

## Properties
energy relative to the elements, uncorrected	0.37	eV/atom
total DFT energy (no corrections)	-3.217	eV per atom
volume	42.79	A^3/atom

7.
# LiLaSc2Ag

A relaxed structure of LiLaSc2Ag (GGA-PBE, the Alexandria database). Values from VASP.

```
&SYSTEM
  ibrav = 0, nat = 5, ntyp = 4
/
ATOMIC_SPECIES
Li 6.94 Li.upf
La 138.91 La.upf
Sc 44.96 Sc.upf
Ag 107.87 Ag.upf
ATOMIC_POSITIONS crystal
Li 0.000 0.000 0.000
La 0.500 0.500 0.000
Sc 0.000 0.500 0.500
Sc 0.500 0.000 0.500
Ag 0.000 0.000 0.500
CELL_PARAMETERS angstrom
5.282 0.000 0.000
0.000 5.282 0.000
0.000 0.000 4.945
```

## Properties
total DFT energy (no corrections)	-4.241	eV per atom
calculated formation energy	230	meV per atom
volume	27.60	A^3/atom

8.
# LiLa2ScAg

A relaxed structure of LiLa2ScAg (GGA-PBE, the Alexandria database). Values from VASP.

```
&SYSTEM
  ibrav = 0, nat = 5, ntyp = 4
/
ATOMIC_SPECIES
Li 6.94 Li.upf
La 138.91 La.upf
Sc 44.96 Sc.upf
Ag 107.87 Ag.upf
ATOMIC_POSITIONS crystal
Li 0.000 0.000 0.000
La 0.000 0.500 0.500
La 0.500 0.000 0.500
Sc 0.000 0.000 0.500
Ag 0.500 0.500 0.000
CELL_PARAMETERS angstrom
5.668 0.000 0.000
0.000 5.668 0.000
0.000 0.000 4.924
```

## Properties
total DFT energy (no corrections)	-3.527	eV per atom
calculated formation energy	663	meV per atom
volume	31.64	A^3/atom

9.
# LiLaSiAg

A relaxed structure of LiLaSiAg (GGA-PBE, the Alexandria database). Values from VASP.

```
&SYSTEM
  ibrav = 0, nat = 4, ntyp = 4
/
ATOMIC_SPECIES
Li 6.94 Li.upf
La 138.91 La.upf
Si 28.09 Si.upf
Ag 107.87 Ag.upf
ATOMIC_POSITIONS crystal
Li 0.000 0.000 0.000
La 0.500 0.500 0.500
Si 0.250 0.250 0.250
Ag 0.750 0.750 0.750
CELL_PARAMETERS angstrom
0.000 3.538 3.538
3.538 0.000 3.538
3.538 3.538 0.000
```

## Properties
energy relative to the elements, uncorrected	-0.30	eV/atom
total DFT energy (no corrections)	-4.079	eV per atom
volume	22.15	A^3/atom

10.
# LiLaSmAg

A relaxed structure of LiLaSmAg (GGA-PBE, the Alexandria database). Values from VASP.

```
&SYSTEM
  ibrav = 0, nat = 4, ntyp = 4
/
ATOMIC_SPECIES
Li 6.94 Li.upf
La 138.91 La.upf
Sm 150.36 Sm.upf
Ag 107.87 Ag.upf
ATOMIC_POSITIONS crystal
Li 0.000 0.000 0.000
La 0.750 0.750 0.750
Sm 0.250 0.250 0.250
Ag 0.500 0.500 0.500
CELL_PARAMETERS angstrom
0.000 3.789 3.789
3.789 0.000 3.789
3.789 3.789 0.000
```

## Properties
total DFT energy (no corrections)	-3.658	eV per atom
calculated formation energy	-55	meV per atom
volume	27.20	A^3/atom

11.
# Li3La2AgSn4

A relaxed structure of Li3La2AgSn4 (GGA-PBE, the Alexandria database). Values from VASP.

```
&SYSTEM
  ibrav = 0, nat = 10, ntyp = 4
/
ATOMIC_SPECIES
Li 6.94 Li.upf
La 138.91 La.upf
Ag 107.87 Ag.upf
Sn 118.71 Sn.upf
ATOMIC_POSITIONS crystal
Li 0.000 0.000 0.000
Li 0.000 0.500 0.631
Li 0.500 0.000 0.369
La 0.000 0.500 0.250
La 0.500 0.000 0.750
Ag 0.500 0.500 0.000
Sn 0.000 0.000 0.500
Sn 0.000 0.500 0.863
Sn 0.500 0.000 0.137
Sn 0.500 0.500 0.500
CELL_PARAMETERS angstrom
4.602 0.000 0.000
0.000 4.602 0.000
0.000 0.000 11.138
```

## Properties
total DFT energy (no corrections)	-3.994	eV per atom
calculated formation energy	-548	meV per atom
volume	23.59	A^3/atom

12.
# Li2LaTaAg

A relaxed structure of Li2LaTaAg (GGA-PBE, the Alexandria database). Values from VASP.

```
&SYSTEM
  ibrav = 0, nat = 5, ntyp = 4
/
ATOMIC_SPECIES
Li 6.94 Li.upf
La 138.91 La.upf
Ta 180.95 Ta.upf
Ag 107.87 Ag.upf
ATOMIC_POSITIONS crystal
Li 0.000 0.500 0.000
Li 0.500 0.000 0.000
La 0.000 0.000 0.500
Ta 0.500 0.500 0.500
Ag 0.000 0.000 0.000
CELL_PARAMETERS angstrom
4.676 0.000 0.000
0.000 4.676 0.000
0.000 0.000 5.846
```

## Properties
total DFT energy (no corrections)	-3.823	eV per atom
calculated formation energy	869	meV per atom
volume	25.57	A^3/atom

13.
# LiLaTbAg

A relaxed structure of LiLaTbAg (GGA-PBE, the Alexandria database). Values from VASP.

```
&SYSTEM
  ibrav = 0, nat = 4, ntyp = 4
/
ATOMIC_SPECIES
Li 6.94 Li.upf
La 138.91 La.upf
Tb 158.93 Tb.upf
Ag 107.87 Ag.upf
ATOMIC_POSITIONS crystal
Li 0.000 0.000 0.000
La 0.750 0.750 0.750
Tb 0.250 0.250 0.250
Ag 0.500 0.500 0.500
CELL_PARAMETERS angstrom
0.000 3.764 3.764
3.764 0.000 3.764
3.764 3.764 0.000
```

## Properties
total DFT energy (no corrections)	-3.640	eV per atom
calculated formation energy	-60	meV per atom
volume	26.65	A^3/atom